Crystalline PmMnN2 at its relaxed geometry. Source: Alexandria via LeMat-Bulk, functional PBE-GGA.

Summary:
Its energy above the most stable polymorph in this dataset is 0 meV/atom. The total energy comes out at -8.51 eV/atom. The symmetry is No. 152. The value obtained for the density of states at the Fermi level is 0.602 states/eV per atom.

a = 5.440 Å, b = 5.440 Å, c = 6.320 Å
α = 90.00°, β = 90.00°, γ = 120.00°
Element x y z (fractional)
Pm (0.000, 0.648, 0.167)
Pm (0.352, 0.352, 0.500)
Pm (0.648, 0.000, 0.833)
Mn (0.000, 0.589, 0.667)
Mn (0.411, 0.411, 0.000)
Mn (0.589, 0.000, 0.333)
N (0.125, 0.433, 0.871)
N (0.307, 0.875, 0.538)
N (0.433, 0.125, 0.129)
N (0.567, 0.693, 0.205)
N (0.693, 0.567, 0.795)
N (0.875, 0.307, 0.462)

---

Crystalline RbSb2Pt at its relaxed geometry. Source: Alexandria via LeMat-Bulk, functional PBE-GGA.

Summary:
Its energy above the most stable polymorph in this dataset is 2 meV/atom. The total energy comes out at -4.28 eV/atom. The symmetry is No. 166. The value obtained for the density of states at the Fermi level is 0.402 states/eV per atom.

a = 8.115 Å, b = 8.115 Å, c = 8.115 Å
α = 30.80°, β = 30.80°, γ = 30.80°
Element x y z (fractional)
Rb (0.000, 0.000, 0.000)
Sb (0.216, 0.216, 0.216)
Sb (0.784, 0.784, 0.784)
Pt (0.500, 0.500, 0.500)

---

Crystalline K2BaPd at its relaxed geometry. Source: Alexandria via LeMat-Bulk, functional PBE-GGA.

Summary:
For the formation energy, the calculation gives 0.28 eV per atom. The total energy comes out at -2.05 eV/atom. The symmetry is No. 225. The value obtained for the density of states at the Fermi level is 0.735 states/eV per atom.

a = 6.030 Å, b = 6.030 Å, c = 6.030 Å
α = 60.00°, β = 60.00°, γ = 60.00°
Element x y z (fractional)
K (0.250, 0.250, 0.250)
K (0.750, 0.750, 0.750)
Ba (0.000, 0.000, 0.000)
Pd (0.500, 0.500, 0.500)

---

Crystalline Sm2Si3Os at its relaxed geometry. Source: Alexandria via LeMat-Bulk, functional PBE-GGA.

Summary:
Its energy above the most stable polymorph in this dataset is 392 meV/atom. The total energy comes out at -6.40 eV/atom. The symmetry is No. 71. The value obtained for the density of states at the Fermi level is 1.002 states/eV per atom.

a = 6.339 Å, b = 6.339 Å, c = 6.339 Å
α = 140.82°, β = 127.47°, γ = 67.45°
Element x y z (fractional)
Sm (0.185, 0.185, 0.000)
Sm (0.815, 0.815, 0.000)
Si (0.000, 0.500, 0.500)
Si (0.383, 0.883, 0.500)
Si (0.617, 0.117, 0.500)
Os (0.500, 0.500, 0.000)

---

- Number 1 is which compound?
  PmMnN2